1.
ScTlW2 | PBE-GGA | relaxed

abc: 2.8737 2.8737 9.5725
angles: 90.00 90.00 106.51
Fractional coordinates of all 4 atoms:
W1 0.0000 0.0000 0.4969
W2 0.0000 0.0000 0.0031
Sc1 0.5000 0.5000 0.2500
Tl1 0.5000 0.5000 0.7500

Values from the calculation:
Energy of formation (meV/atom): 673.4
Symmetry: Cmmm (65)

---

2.
Sc2TlW | PBE-GGA | relaxed

abc: 4.9921 4.9921 5.8590
angles: 83.08 83.08 35.19
Fractional coordinates of all 4 atoms:
Sc1 0.5022 0.5022 0.4850
Sc2 0.9978 0.9978 0.0150
W1 0.2500 0.2500 0.2500
Tl1 0.7500 0.7500 0.7500

Values from the calculation:
Energy of formation (meV/atom): 314.0
Energy above the lowest structure with this stoichiometry (eV/atom): 0.260
Symmetry: C2/m (12)

---

3.
ScTlW2 | PBE-GGA | relaxed

abc: 5.0114 5.0114 5.4550
angles: 84.74 84.74 33.55
Fractional coordinates of all 4 atoms:
Sc1 0.5043 0.5043 0.5038
W1 0.7488 0.7488 0.7652
W2 0.9953 0.9953 0.9766
Tl1 0.2516 0.2516 0.2544

Values from the calculation:
Energy of formation (meV/atom): 575.9
Symmetry: Cm (8)

---

4.
ScTl2W | PBE-GGA | relaxed

abc: 4.8901 4.8901 4.8901
angles: 60.00 60.00 60.00
Fractional coordinates of all 4 atoms:
Tl1 0.7500 0.7500 0.7500
Tl2 0.2500 0.2500 0.2500
W1 0.5000 0.5000 0.5000
Sc1 0.0000 0.0000 0.0000

Values from the calculation:
Energy of formation (meV/atom): 589.0
Energy above the lowest structure with this stoichiometry (eV/atom): 0.138
Symmetry: Fm-3m (225)